# 1
# PmAgSnI6

A geometry-optimized PmAgSnI6 structure (PBE, Alexandria via LeMat-Bulk).

Lattice parameters (Å, degrees): 7.7333 7.7333 14.3458 90.00 90.00 120.00
Space group P-31c (No. 163)
Symmetry-distinct sites (fractional):
Pm1 0.3333 0.6667 0.2500 [2 per cell]
Ag1 0.3333 0.6667 0.7500 [2 per cell]
Sn1 0.0000 0.0000 0.0000 [2 per cell]
I1 0.0050 0.3466 0.6262 [12 per cell]

D(E_F) = 0.000 states/eV per atom
raw formation energy = -18.35 kcal/mol of atoms


# 2
# AgMo3Ru

A geometry-optimized AgMo3Ru structure (PBE, Alexandria via LeMat-Bulk).

Lattice parameters (Å, degrees): 4.688 4.688 4.688 90.00 90.00 90.00
Space group Pm-3m (No. 221)
Symmetry-distinct sites (fractional):
Ag1 0.000 0.000 0.000 [1 per cell]
Mo1 0.000 0.500 0.500 [3 per cell]
Ru1 0.500 0.500 0.500 [1 per cell]

offset from the most stable computed form = 0.00 eV/f.u.
energy of formation = 1.603 eV/atom
D(E_F) = 1.068 states/eV per atom


# 3
# PuZnCu2

A geometry-optimized PuZnCu2 structure (PBE, Alexandria via LeMat-Bulk).

Lattice parameters (Å, degrees): 3.032 3.032 7.060 90.00 90.00 90.00
Space group P4/mmm (No. 123)
Symmetry-distinct sites (fractional):
Pu1 0.000 0.000 0.000 [1 per cell]
Zn1 0.000 0.000 0.500 [1 per cell]
Cu1 0.500 0.500 0.304 [2 per cell]

energy of formation = 0.001 eV/atom
D(E_F) = 1.587 states/eV per atom


# 4
# LaFe2Br

A geometry-optimized LaFe2Br structure (PBE, Alexandria via LeMat-Bulk).

Lattice parameters (Å, degrees): 3.380 3.315 7.647 90.00 102.71 90.00
Space group Pm (No. 6)
Symmetry-distinct sites (fractional):
La1 0.000 0.000 0.000 [1 per cell]
Fe1 0.202 0.000 0.405 [1 per cell]
Fe2 0.639 0.500 0.279 [1 per cell]
Br1 0.356 0.500 0.710 [1 per cell]

offset from the most stable computed form = 0.22 eV/f.u.
D(E_F) = 0.667 states/eV per atom
raw formation energy = -1.27 kcal/mol of atoms


# 5
# HfMg6BO7

A geometry-optimized HfMg6BO7 structure (PBE, Alexandria via LeMat-Bulk).

Lattice parameters (Å, degrees): 4.162 4.162 10.372 90.00 90.00 90.00
Space group P4mm (No. 99)
Symmetry-distinct sites (fractional):
Hf1 0.000 0.000 0.000 [1 per cell]
Mg1 0.000 0.500 0.271 [2 per cell]
Mg2 0.000 0.500 0.687 [2 per cell]
Mg3 0.500 0.500 0.059 [1 per cell]
Mg4 0.500 0.500 0.474 [1 per cell]
B1 0.000 0.000 0.517 [1 per cell]
O1 0.000 0.000 0.218 [1 per cell]
O2 0.000 0.000 0.810 [1 per cell]
O3 0.000 0.500 0.031 [2 per cell]
O4 0.000 0.500 0.468 [2 per cell]
O5 0.500 0.500 0.254 [1 per cell]

offset from the most stable computed form = 2.31 eV/f.u.
D(E_F) = 0.177 states/eV per atom
raw formation energy = -44.20 kcal/mol of atoms


# 6
# AlV2N

A geometry-optimized AlV2N structure (PBE, Alexandria via LeMat-Bulk).

Lattice parameters (Å, degrees): 6.050 6.050 5.629 90.00 90.00 90.00
Space group I-42d (No. 122)
Symmetry-distinct sites (fractional):
Al1 0.000 0.000 0.000 [4 per cell]
V1 0.156 0.250 0.625 [8 per cell]
N1 0.000 0.000 0.500 [4 per cell]

D(E_F) = 0.869 states/eV per atom
raw formation energy = -4.74 kcal/mol of atoms


# 7
# Pa2BiN

A geometry-optimized Pa2BiN structure (PBE, Alexandria via LeMat-Bulk).

Lattice parameters (Å, degrees): 3.3758 3.3758 25.9728 90.00 90.00 120.00
Space group R-3m (No. 166, hexagonal axes)
Symmetry-distinct sites (fractional):
Pa1 0.0000 0.0000 0.2233 [6 per cell]
Bi1 0.0000 0.0000 0.0000 [3 per cell]
N1 0.0000 0.0000 0.5000 [3 per cell]

offset from the most stable computed form = 0.00 eV/f.u.
D(E_F) = 1.590 states/eV per atom
raw formation energy = -17.75 kcal/mol of atoms


# 8
# Pr2NdHo3Tm6

A geometry-optimized Pr2NdHo3Tm6 structure (PBE, Alexandria via LeMat-Bulk).

Lattice parameters (Å, degrees): 6.165 10.666 11.697 90.00 100.08 90.00
Space group C2/m (No. 12)
Symmetry-distinct sites (fractional):
Pr1 0.000 0.167 0.000 [4 per cell]
Nd1 0.000 0.500 0.000 [2 per cell]
Ho1 0.000 0.000 0.500 [2 per cell]
Ho2 0.000 0.333 0.500 [4 per cell]
Tm1 0.247 0.500 0.746 [4 per cell]
Tm2 0.248 0.167 0.746 [8 per cell]

energy of formation = 0.025 eV/atom
D(E_F) = 1.310 states/eV per atom


Please write out number 4 again, unchanged.
# LaFe2Br

A geometry-optimized LaFe2Br structure (PBE, Alexandria via LeMat-Bulk).

Lattice parameters (Å, degrees): 3.380 3.315 7.647 90.00 102.71 90.00
Space group Pm (No. 6)
Symmetry-distinct sites (fractional):
La1 0.000 0.000 0.000 [1 per cell]
Fe1 0.202 0.000 0.405 [1 per cell]
Fe2 0.639 0.500 0.279 [1 per cell]
Br1 0.356 0.500 0.710 [1 per cell]

offset from the most stable computed form = 0.22 eV/f.u.
D(E_F) = 0.667 states/eV per atom
raw formation energy = -1.27 kcal/mol of atoms


Among the records above, which one has the highest D(E_F)? Pa2BiN


Which formula does entry 7 have? Pa2BiN